# 1
Below is an optimized crystal structure of Ca2TbMoN4, with properties calculated at the PBE-GGA level.

Properties
* E: -60.9 eV/f.u.

a b c (Å): 7.6329 6.8179 5.0040
angles (deg): 90.00 90.00 90.00
With the nearest neighbours (Å) after each atom.
Positions (direct):
Ca 0.2446 0.1614 0.0000  4 N 2.26-2.50
Ca 0.2554 0.8386 0.5000  4 N 2.26-2.50
Ca 0.7446 0.8386 0.5000  4 N 2.26-2.50
Ca 0.7554 0.1614 0.0000  4 N 2.26-2.50
Tb 0.0000 0.3603 0.4985  3 N 2.21-2.37
Tb 0.5000 0.6397 0.9985  3 N 2.21-2.37
Mo 0.0000 0.6725 0.0451  4 N 1.92-1.98
Mo 0.5000 0.3275 0.5451  4 N 1.92-1.98
N 0.0000 0.3841 0.0016  1 Mo 1.98
N 0.0000 0.6805 0.4278  1 Mo 1.92
N 0.2245 0.7983 0.9934  1 Mo 1.93
N 0.2755 0.2017 0.4934  1 Mo 1.93
N 0.5000 0.3195 0.9278  1 Mo 1.92
N 0.5000 0.6159 0.5016  1 Mo 1.98
N 0.7245 0.2017 0.4934  1 Mo 1.93
N 0.7755 0.7983 0.9934  1 Mo 1.93

# 2
Below is an optimized crystal structure of YSi2O2, with properties calculated at the PBE-GGA level.

Properties
* polymorph energy (0 for the lowest one): 0 meV per atom
* E: -34.8 eV/f.u.

a b c (Å): 6.2806 6.2806 3.7004
angles (deg): 90.00 90.00 90.00
With the nearest neighbours (Å) after each atom.
Positions (direct):
Y 0.0000 0.0000 0.0000  4 O 2.36
Y 0.5000 0.5000 0.0000  4 O 2.36
Si 0.1382 0.3618 0.5000  2 O 1.86
Si 0.3618 0.8618 0.5000  2 O 1.86
Si 0.6382 0.1382 0.5000  2 O 1.86
Si 0.8618 0.6382 0.5000  2 O 1.86
O 0.1617 0.3383 0.0000  2 Si 1.86
O 0.3383 0.8383 0.0000  2 Si 1.86
O 0.6617 0.1617 0.0000  2 Si 1.86
O 0.8383 0.6617 0.0000  2 Si 1.86

# 3
Below is an optimized crystal structure of Er4CuAu2, with properties calculated at the PBE-GGA level.

Properties
* ΔE_f: -0.538 eV/atom
* E: -32.7 eV/f.u.

a b c (Å): 8.6301 8.6301 8.6301
angles (deg): 33.27 33.27 33.27
With the nearest neighbours (Å) after each atom.
Positions (direct):
Er 0.1238 0.1238 0.1238  4 Au 2.99, 1 Cu 3.02
Er 0.3737 0.3737 0.3737  3 Cu 3.02, 4 Au 3.07-3.11
Er 0.6263 0.6263 0.6263  3 Cu 3.02, 4 Au 3.07-3.11
Er 0.8762 0.8762 0.8762  4 Au 2.99, 1 Cu 3.02
Cu 0.0000 0.0000 0.0000  8 Er 3.02
Au 0.2463 0.2463 0.2463  8 Er 2.99-3.11
Au 0.7537 0.7537 0.7537  8 Er 2.99-3.11